[1]
An optimized crystal structure of MgCoMo2, computed with GGA-PBEsol.

a b c (Å): 3.6569 3.6569 4.2830
angles (deg): 90.00 90.00 90.00
Space group P4/mmm (No. 123)
Asymmetric unit:
Mg  0.0000  0.0000  0.0000
Co  0.5000  0.5000  0.0000
Mo  0.0000  0.5000  0.5000

Results
The density of states at the Fermi level comes out at 4.83 states/eV/cell. The spin magnetization is 0.67 μB per formula unit. The value obtained for the formation energy is 0.371 eV per atom.

[2]
An optimized crystal structure of CoMo2Pt, computed with GGA-PBEsol.

a b c (Å): 2.6675 2.6675 7.6805
angles (deg): 90.00 90.00 90.00
Space group P4/mmm (No. 123)
Asymmetric unit:
Co  0.0000  0.0000  0.0000
Mo  0.5000  0.5000  0.2296
Pt  0.0000  0.0000  0.5000

Results
The density of states at the Fermi level comes out at 2.93 states/eV/cell. The offset from the most stable computed form is 0 meV per atom. The spin magnetization is 0.37 μB per formula unit. The value obtained for the formation energy is -0.161 eV per atom.

[3]
An optimized crystal structure of ZrTi3O, computed with GGA-PBEsol.

a b c (Å): 4.7194 4.7194 4.7194
angles (deg): 90.00 90.00 90.00
Space group Pm-3m (No. 221)
Asymmetric unit:
Zr  0.0000  0.0000  0.0000
Ti  0.0000  0.0000  0.5000
O  0.5000  0.5000  0.5000

Results
The density of states at the Fermi level comes out at 7.16 states/eV/cell. The offset from the most stable computed form is 2742 meV per atom. The spin magnetization is 2.22 μB per formula unit. The value obtained for the formation energy without anion corrections is 1.63 eV/atom.

[4]
An optimized crystal structure of CrTeP2, computed with GGA-PBEsol.

a b c (Å): 5.5428 3.0641 8.3329
angles (deg): 90.00 97.31 90.00
Space group C2/m (No. 12)
Asymmetric unit:
Cr  0.0000  0.0000  0.0000
Te  0.0000  0.5000  0.5000
P  0.1372  0.5000  0.8259

Results
The density of states at the Fermi level comes out at 5.54 states/eV/cell. The spin magnetization is 0.00 μB per formula unit. The value obtained for the formation energy without anion corrections is 0.00 eV/atom.

[5]
An optimized crystal structure of FeIN3, computed with GGA-PBEsol.

a b c (Å): 3.7396 3.7396 3.7396
angles (deg): 90.00 90.00 90.00
Space group Pm-3m (No. 221)
Asymmetric unit:
Fe  0.0000  0.0000  0.0000
I  0.5000  0.5000  0.5000
N  0.0000  0.0000  0.5000

Results
The density of states at the Fermi level comes out at 3.48 states/eV/cell. The spin magnetization is 0.00 μB per formula unit. The value obtained for the formation energy without anion corrections is 1.29 eV/atom.

[6]
An optimized crystal structure of ThTeAs, computed with GGA-PBEsol.

a b c (Å): 4.2546 4.2546 8.7875
angles (deg): 90.00 90.00 90.00
Space group P4/nmm (No. 129, origin choice 2)
Asymmetric unit:
Th  0.2500  0.2500  0.2438
Te  0.2500  0.2500  0.6273
As  0.2500  0.7500  0.0000

Results
The density of states at the Fermi level comes out at 1.62 states/eV/cell. The spin magnetization is 0.00 μB per formula unit. The value obtained for the formation energy without anion corrections is -1.19 eV/atom.

no.,calculated density (g/cm³)
1,7.976
2,13.549
3,3.962
4,5.715
5,7.137
6,9.073